Record 1
# TmZnTe2O8 (PBE, relaxed)
# * uncorrected formation energy: -1.3813 eV per atom
# * total DFT energy (no corrections): -5.689 eV per atom
data_TmZnTe2O8
_space_group_name_H-M_alt 'P 1'
_space_group_IT_number 1
_cell_length_a 6.0581
_cell_length_b 6.0581
_cell_length_c 6.0581
_cell_angle_alpha 108.07
_cell_angle_beta 108.07
_cell_angle_gamma 112.32
loop_
_space_group_symop_operation_xyz
'x,y,z'
loop_
_atom_site_label
_atom_site_type_symbol
_atom_site_fract_x
_atom_site_fract_y
_atom_site_fract_z
_atom_site_occupancy
Tm1 Tm 0.2500 0.7500 0.5000 1
Zn1 Zn 0.0000 0.0000 0.0000 1
Te1 Te 0.7500 0.2500 0.5000 1
Te2 Te 0.5000 0.5000 0.0000 1
O1 O 0.3582 0.0520 0.3062 1
O2 O 0.3116 0.5029 0.1913 1
O3 O 0.3116 0.1202 0.8087 1
O4 O 0.7459 0.0520 0.6938 1
O5 O 0.8798 0.6884 0.1913 1
O6 O 0.9480 0.2541 0.3062 1
O7 O 0.9480 0.6418 0.6938 1
O8 O 0.4971 0.6884 0.8087 1

Record 2
# TmZrTeO6 (PBE, relaxed)
# * uncorrected formation energy: -2.4032 eV per atom
# * total DFT energy (no corrections): -7.504 eV per atom
data_TmZrTeO6
_space_group_name_H-M_alt 'P 1'
_space_group_IT_number 1
_cell_length_a 5.4778
_cell_length_b 5.4778
_cell_length_c 9.5150
_cell_angle_alpha 90.00
_cell_angle_beta 90.00
_cell_angle_gamma 120.00
loop_
_space_group_symop_operation_xyz
'x,y,z'
loop_
_atom_site_label
_atom_site_type_symbol
_atom_site_fract_x
_atom_site_fract_y
_atom_site_fract_z
_atom_site_occupancy
Tm1 Tm 0.0000 0.0000 0.0000 1
Tm2 Tm 0.0000 0.0000 0.5000 1
Zr1 Zr 0.3333 0.6667 0.2500 1
Zr2 Zr 0.6667 0.3333 0.7500 1
Te1 Te 0.6667 0.3333 0.2500 1
Te2 Te 0.3333 0.6667 0.7500 1
O1 O 0.6584 0.6500 0.1343 1
O2 O 0.9916 0.3416 0.1343 1
O3 O 0.3416 0.9916 0.6343 1
O4 O 0.0084 0.6584 0.8657 1
O5 O 0.3500 0.3416 0.3657 1
O6 O 0.9916 0.6500 0.3657 1
O7 O 0.6500 0.9916 0.8657 1
O8 O 0.6584 0.0084 0.3657 1
O9 O 0.0084 0.3500 0.6343 1
O10 O 0.3500 0.0084 0.1343 1
O11 O 0.6500 0.6584 0.6343 1
O12 O 0.3416 0.3500 0.8657 1

Record 3
# U2TeO3 (PBE, relaxed)
# * uncorrected formation energy: -2.5666 eV per atom
# * total DFT energy (no corrections): -9.332 eV per atom
data_U2TeO3
_space_group_name_H-M_alt 'P 1'
_space_group_IT_number 1
_cell_length_a 3.8397
_cell_length_b 6.9165
_cell_length_c 8.8105
_cell_angle_alpha 104.71
_cell_angle_beta 90.00
_cell_angle_gamma 106.12
loop_
_space_group_symop_operation_xyz
'x,y,z'
loop_
_atom_site_label
_atom_site_type_symbol
_atom_site_fract_x
_atom_site_fract_y
_atom_site_fract_z
_atom_site_occupancy
U1 U 0.4807 0.9613 0.7803 1
U2 U 0.5193 0.0387 0.2197 1
U3 U 0.8477 0.6954 0.4184 1
U4 U 0.1523 0.3046 0.5816 1
Te1 Te 0.8613 0.7226 0.9626 1
Te2 Te 0.1387 0.2774 0.0374 1
O1 O 0.3255 0.6509 0.5808 1
O2 O 0.9796 0.9592 0.6428 1
O3 O 0.6242 0.2484 0.6967 1
O4 O 0.3758 0.7516 0.3033 1
O5 O 0.0204 0.0408 0.3572 1
O6 O 0.6745 0.3491 0.4192 1

no.,calculated density (Mg/m³)
1,6.00
2,6.50
3,9.98